1.
NaTeWI2 | PBE | relaxed Values from VASP.

Geometry as Quantum ESPRESSO input:
```
&SYSTEM
  ibrav = 0, nat = 5, ntyp = 4
/
ATOMIC_SPECIES
W 183.84 W.upf
Te 127.60 Te.upf
I 126.90 I.upf
Na 22.99 Na.upf
ATOMIC_POSITIONS crystal
W 0.500 0.500 0.500
Te 0.000 0.000 0.500
I 0.000 0.500 0.000
I 0.500 0.000 0.000
Na 0.000 0.000 0.000
CELL_PARAMETERS angstrom
-5.015 -0.055 2.414
1.155 -4.941 2.287
2.223 2.686 4.679
```

The uncorrected formation energy comes out at 6.45 eV per formula unit. The magnetization comes out at 2.97 μB per formula unit. Its energy above the most stable polymorph in this dataset is 26.00 kcal/mol of atoms. The space group is No. 123.

=====

2.
LiGaAgPd2 | PBE | relaxed Values from VASP.

Geometry as Quantum ESPRESSO input:
```
&SYSTEM
  ibrav = 0, nat = 5, ntyp = 4
/
ATOMIC_SPECIES
Ga 69.72 Ga.upf
Pd 106.42 Pd.upf
Ag 107.87 Ag.upf
Li 6.94 Li.upf
ATOMIC_POSITIONS crystal
Ga 0.500 0.500 0.500
Pd 0.500 0.000 0.000
Ag 0.000 0.500 0.000
Li 0.000 0.000 0.000
Pd 0.000 0.000 0.500
CELL_PARAMETERS angstrom
-3.223 -2.839 -0.248
1.471 -1.330 -3.896
2.454 -2.956 1.936
```

The value obtained for the formation enthalpy at 0 K is 171 meV per atom. The magnetization comes out at 0.00 μB per formula unit. The space group is No. 123.

=====

3.
KBe2Re | PBE | relaxed Values from VASP.

Geometry as Quantum ESPRESSO input:
```
&SYSTEM
  ibrav = 0, nat = 4, ntyp = 3
/
ATOMIC_SPECIES
Be 9.01 Be.upf
K 39.10 K.upf
Re 186.21 Re.upf
ATOMIC_POSITIONS crystal
Be 0.484 0.484 0.484
K 0.250 0.250 0.250
Be 0.016 0.016 0.016
Re 0.750 0.750 0.750
CELL_PARAMETERS angstrom
-9.500 -0.134 2.335
-9.498 -2.272 0.593
-8.841 -2.653 3.244
```

The value obtained for the formation enthalpy at 0 K is 825 meV per atom. The magnetization comes out at 0.00 μB per formula unit. Its energy above the most stable polymorph in this dataset is 8.37 kcal/mol of atoms. The space group is No. 166.